Record 1
16
Lattice="7.8113 0.0000 0.0000 0.0000 7.8113 0.0000 0.0000 0.0000 7.8113" Properties=species:S:1:pos:R:3 comment="PrYHoIn | Alexandria | GGA-PBE | optimized geometry" density_g_cm3=7.10 polymorph_energy_mev_per_atom=114 dos_at_fermi_per_ev_cell=23.1 spacegroup="F-43m (216)" energy_ev_per_atom=-4.79 delta_e_f_ev_per_atom=-0.151 pbc="T T T"
Pr 0.0000 0.0000 0.0000
Pr 0.0000 3.9057 3.9057
Pr 3.9057 0.0000 3.9057
Pr 3.9057 3.9057 0.0000
Y 0.0000 0.0000 3.9057
Y 0.0000 3.9057 0.0000
Y 3.9057 0.0000 0.0000
Y 3.9057 3.9057 3.9057
Ho 1.9528 1.9528 5.8585
Ho 1.9528 5.8585 1.9528
Ho 5.8585 1.9528 1.9528
Ho 5.8585 5.8585 5.8585
In 1.9528 1.9528 1.9528
In 1.9528 5.8585 5.8585
In 5.8585 1.9528 5.8585
In 5.8585 5.8585 1.9528

---

Record 2
12
Lattice="3.0654 -5.3111 0.0000 3.0654 5.3111 0.0000 -2.0462 0.0000 11.5917" Properties=species:S:1:pos:R:3 comment="Pr2Y6Ho3In | Alexandria | GGA-PBE | optimized geometry" density_g_cm3=6.27 dos_at_fermi_per_ev_cell=16.5 spacegroup="C2/m (12)" energy_ev_per_atom=-5.46 delta_e_f_ev_per_atom=-0.056 pbc="T T T"
Pr 3.0654 3.5434 0.0000
Pr 3.0654 -3.5434 0.0000
Y 0.0205 1.7346 8.6908
Y 1.0609 0.0000 2.9093
Y 0.0205 -1.7346 8.6908
Y 4.0640 1.7346 2.9010
Y 3.0236 0.0000 8.6824
Y 4.0640 -1.7346 2.9010
Ho -1.0231 0.0000 5.7959
Ho 2.0422 1.7666 5.7959
Ho 2.0422 -1.7666 5.7959
In 3.0654 0.0000 0.0000

---

Record 3
12
Lattice="3.1136 -5.4075 0.0000 3.1136 5.4075 0.0000 -2.1028 0.0000 11.7012" Properties=species:S:1:pos:R:3 comment="Pr6Y2Ho3In | Alexandria | GGA-PBE | optimized geometry" density_g_cm3=6.88 dos_at_fermi_per_ev_cell=14.5 spacegroup="C2/m (12)" energy_ev_per_atom=-4.87 delta_e_f_ev_per_atom=-0.034 pbc="T T T"
Pr -0.0422 1.7669 8.7673
Pr 0.9899 0.0000 2.9205
Pr -0.0422 -1.7669 8.7673
Pr 4.1666 1.7669 2.9339
Pr 3.1344 0.0000 8.7808
Pr 4.1666 -1.7669 2.9339
Y 2.0622 1.8012 5.8506
Y 2.0622 -1.8012 5.8506
Ho 3.1136 3.5927 0.0000
Ho 3.1136 0.0000 0.0000
Ho 3.1136 -3.5927 0.0000
In -1.0514 0.0000 5.8506

---

Record 4
12
Lattice="3.0536 -5.2903 0.0000 3.0536 5.2903 0.0000 -2.0354 0.0000 11.5695" Properties=species:S:1:pos:R:3 comment="Pr2Y3Ho6In | Alexandria | GGA-PBE | optimized geometry" density_g_cm3=7.34 dos_at_fermi_per_ev_cell=16.2 spacegroup="C2/m (12)" energy_ev_per_atom=-4.98 delta_e_f_ev_per_atom=-0.053 pbc="T T T"
Pr 3.0536 3.5294 0.0000
Pr 3.0536 -3.5294 0.0000
Y -1.0177 0.0000 5.7847
Y 2.0359 1.7612 5.7847
Y 2.0359 -1.7612 5.7847
Ho 0.0213 1.7308 8.6820
Ho 1.0553 0.0000 2.8949
Ho 0.0213 -1.7308 8.6820
Ho 4.0505 1.7308 2.8875
Ho 3.0165 0.0000 8.6746
Ho 4.0505 -1.7308 2.8875
In 3.0536 0.0000 0.0000

---

Record 5
4
Lattice="4.8621 0.0000 0.0000 0.0000 4.9006 0.0000 0.0000 0.0000 4.9651" Properties=species:S:1:pos:R:3 comment="PrYHoIn | Alexandria | GGA-PBE | optimized geometry" density_g_cm3=7.15 polymorph_energy_mev_per_atom=0 dos_at_fermi_per_ev_cell=5.8 spacegroup="Pmmm (47)" energy_ev_per_atom=-4.90 delta_e_f_ev_per_atom=-0.264 pbc="T T T"
Pr 0.0000 0.0000 0.0000
Y 2.4310 0.0000 2.4826
Ho 2.4310 2.4503 0.0000
In 0.0000 2.4503 2.4826

---

Record 6
7
Lattice="2.3634 1.3645 9.4691 -2.3634 1.3645 9.4691 0.0000 -2.7290 9.4691" Properties=species:S:1:pos:R:3 comment="Pr2HoZn2In2 | Alexandria | GGA-PBE | optimized geometry" density_g_cm3=7.32 dos_at_fermi_per_ev_cell=4.2 spacegroup="R-3m (166)" energy_ev_per_atom=-3.46 delta_e_f_ev_per_atom=-0.296 pbc="T T T"
Pr 0.0000 0.0000 3.5823
Pr 0.0000 0.0000 24.8250
Ho 0.0000 0.0000 0.0000
Zn 0.0000 0.0000 11.0734
Zn 0.0000 0.0000 17.3340
In 0.0000 0.0000 7.6468
In 0.0000 0.0000 20.7606

---

Q: Number 5 is which compound?
A: PrYHoIn